(1)
A relaxed YTl2AgF6 crystal, computed with GGA-PBE.

Lattice parameters (Å, degrees): 6.3876 6.4900 11.2269 90.00 123.82 90.00
Closest atoms and distances in Å follow each position.
Space group P2_1/c (No. 14)
Inequivalent atoms, fractional coordinates:
Y: 0.0000 0.0000 0.0000 (multiplicity 2)  6 F 2.20
Tl: 0.2622 0.0377 0.7520 (multiplicity 4)  4 F 2.75-2.89
Ag: 0.5000 0.0000 0.5000 (multiplicity 2)  6 F 2.47-2.61
F: 0.1423 0.0292 0.2282 (multiplicity 4)  1 Y 2.20
F: 0.2334 0.7239 0.0457 (multiplicity 4)  1 Y 2.20
F: 0.3155 0.1922 0.0373 (multiplicity 4)  1 Y 2.20

Values from the calculation:
The mass density comes out at 6.18 Mg/m³. For the formation energy from raw total energies, the calculation gives -2542 meV per atom. The density of states at the Fermi level comes out at 0.000 states/eV/atom.


(2)
A relaxed Y8Te4PbSe3 crystal, computed with GGA-PBE.

Lattice parameters (Å, degrees): 8.5135 8.5135 21.2418 90.00 90.00 120.00
Closest atoms and distances in Å follow each position.
Space group R-3m (No. 166, hexagonal axes)
Inequivalent atoms, fractional coordinates:
Y: 0.0000 0.0000 0.2384 (multiplicity 6)  3 Se 2.89, 3 Te 3.18
Y: 0.0112 0.5056 0.7581 (multiplicity 18)  2 Se 2.90, 1 Pb 3.00, 3 Te 3.07-3.17
Te: 0.0000 0.0000 0.0000 (multiplicity 3)  6 Y 3.07
Te: 0.0000 0.5000 0.0000 (multiplicity 9)  6 Y 3.17-3.18
Pb: 0.0000 0.0000 0.5000 (multiplicity 3)  6 Y 3.00
Se: 0.0000 0.5000 0.5000 (multiplicity 9)  6 Y 2.89-2.90

Values from the calculation:
The mass density comes out at 6.22 Mg/m³. For the formation energy from raw total energies, the calculation gives -1407 meV per atom. The density of states at the Fermi level comes out at 0.408 states/eV/atom.


(3)
A relaxed LuInCo2 crystal, computed with GGA-PBE.

Lattice parameters (Å, degrees): 6.3435 6.3435 6.3435 90.00 90.00 90.00
Closest atoms and distances in Å follow each position.
Space group Fm-3m (No. 225)
Inequivalent atoms, fractional coordinates:
Lu: 0.0000 0.0000 0.0000 (multiplicity 4)  8 Co 2.75
In: 0.0000 0.0000 0.5000 (multiplicity 4)  8 Co 2.75
Co: 0.2500 0.2500 0.2500 (multiplicity 8)  4 In 2.75, 4 Lu 2.75

Values from the calculation:
The calculation puts the formation energy at -0.1759 eV/atom. The mass density comes out at 10.61 Mg/m³. The density of states at the Fermi level comes out at 0.262 states/eV/atom.


(4)
A relaxed CeNdNiRh crystal, computed with GGA-PBE.

Lattice parameters (Å, degrees): 4.4877 3.8065 10.2394 90.00 90.00 90.00
Closest atoms and distances in Å follow each position.
Space group Amm2 (No. 38)
Inequivalent atoms, fractional coordinates:
Ce: 0.0000 0.0000 0.0000 (multiplicity 2)  3 Rh 2.84-2.97, 4 Ni 2.99
Nd: 0.5000 0.0000 0.2769 (multiplicity 2)  3 Ni 2.84-2.97, 4 Rh 2.99
Ni: 0.5000 0.0000 0.5542 (multiplicity 2)  2 Rh 2.83, 3 Nd 2.84-2.97, 4 Ce 2.99
Rh: 0.0000 0.0000 0.7226 (multiplicity 2)  2 Ni 2.83, 3 Ce 2.84-2.97, 4 Nd 2.99

Values from the calculation:
The calculation puts the formation energy at -0.5144 eV/atom. The mass density comes out at 8.47 Mg/m³. Its energy relative to the lowest polymorph listed for this composition is 0 kJ/mol of formula units. The density of states at the Fermi level comes out at 1.333 states/eV/atom.


(5)
A relaxed PmPr2Sm4Ho2 crystal, computed with GGA-PBE.

Lattice parameters (Å, degrees): 6.1002 6.7213 8.7078 79.97 70.73 65.27
Closest atoms and distances in Å follow each position.
Space group P-1 (No. 2)
Inequivalent atoms, fractional coordinates:
Pm: 0.0000 0.0000 0.0000 (multiplicity 1)  4 Sm 3.37-3.65, 2 Pr 3.53
Pr: 0.2700 0.6735 0.6565 (multiplicity 2)  5 Sm 3.45-3.77, 4 Ho 3.52-3.57, 1 Pr 3.53, 1 Pm 3.53
Sm: 0.2633 0.4194 0.1167 (multiplicity 2)  4 Sm 3.41-3.78, 2 Pr 3.45-3.77, 2 Ho 3.60-3.75, 1 Pm 3.65
Sm: 0.3766 0.8715 0.2423 (multiplicity 2)  1 Pm 3.37, 3 Ho 3.48-3.56, 2 Sm 3.49-3.52, 3 Pr 3.52-3.77
Ho: 0.1794 0.2303 0.5554 (multiplicity 2)  5 Sm 3.48-3.75, 2 Ho 3.52-3.77, 4 Pr 3.52-3.57, 1 Pm 3.89

Values from the calculation:
The calculation puts the formation energy at 0.0723 eV/atom. The mass density comes out at 7.37 Mg/m³. The density of states at the Fermi level comes out at 1.475 states/eV/atom.


(6)
A relaxed ScAlIrAu crystal, computed with GGA-PBE.

Lattice parameters (Å, degrees): 6.4244 6.4244 6.4244 90.00 90.00 90.00
Closest atoms and distances in Å follow each position.
Space group F-43m (No. 216)
Inequivalent atoms, fractional coordinates:
Sc: 0.0000 0.0000 0.0000 (multiplicity 4)  4 Ir 2.78, 4 Au 2.78
Al: 0.0000 0.0000 0.5000 (multiplicity 4)  4 Ir 2.78, 4 Au 2.78
Ir: 0.2500 0.2500 0.2500 (multiplicity 4)  4 Sc 2.78, 4 Al 2.78
Au: 0.2500 0.2500 0.7500 (multiplicity 4)  4 Sc 2.78, 4 Al 2.78

Values from the calculation:
The calculation puts the formation energy at -0.7266 eV/atom. The mass density comes out at 11.55 Mg/m³. The density of states at the Fermi level comes out at 0.692 states/eV/atom.


(7)
A relaxed RbNi2H2 crystal, computed with GGA-PBE.

Lattice parameters (Å, degrees): 3.4976 3.4976 11.6742 90.00 90.00 90.00
Closest atoms and distances in Å follow each position.
Space group I4/mmm (No. 139)
Inequivalent atoms, fractional coordinates:
Rb: 0.0000 0.0000 0.0000 (multiplicity 2)  2 H 3.16, 8 Ni 3.40, 4 Rb 3.50
Ni: 0.0000 0.5000 0.2500 (multiplicity 4)  4 H 1.77
H: 0.0000 0.0000 0.2707 (multiplicity 4)  4 Ni 1.77

Values from the calculation:
The mass density comes out at 4.76 Mg/m³. Its energy relative to the lowest polymorph listed for this composition is 0 kJ/mol of formula units. The density of states at the Fermi level comes out at 0.284 states/eV/atom.


(8)
A relaxed Th4InHg2 crystal, computed with GGA-PBE.

Lattice parameters (Å, degrees): 5.4295 5.4295 23.8302 90.00 90.00 120.00
Closest atoms and distances in Å follow each position.
Space group R-3m (No. 166, hexagonal axes)
Inequivalent atoms, fractional coordinates:
Th: 0.0000 0.0000 0.0834 (multiplicity 6)  4 Hg 3.20-3.31, 3 Th 3.42
Th: 0.0000 0.0000 0.3593 (multiplicity 6)  1 Hg 3.27, 1 In 3.35, 6 Th 3.37-3.42
In: 0.0000 0.0000 0.5000 (multiplicity 3)  8 Th 3.35-3.71, 6 Hg 3.40
Hg: 0.0000 0.0000 0.2222 (multiplicity 6)  5 Th 3.20-3.31, 3 In 3.40

Values from the calculation:
The calculation puts the formation energy at -0.0444 eV/atom. The mass density comes out at 11.83 Mg/m³. Its energy relative to the lowest polymorph listed for this composition is 0 kJ/mol of formula units. The density of states at the Fermi level comes out at 0.964 states/eV/atom.


(9)
A relaxed Sm3AuN crystal, computed with GGA-PBE.

Lattice parameters (Å, degrees): 4.9899 6.8138 6.8144 90.00 90.00 90.00
Closest atoms and distances in Å follow each position.
Space group Pmc2_1 (No. 26)
Inequivalent atoms, fractional coordinates:
Sm: 0.0000 0.0598 0.0000 (multiplicity 2)  2 N 2.48
Sm: 0.0000 0.4403 0.3804 (multiplicity 2)  2 N 2.48
Sm: 0.5000 0.2499 0.6902 (multiplicity 2)  2 N 2.49
Au: 0.5000 0.2504 0.1898 (multiplicity 2)  8 Sm 3.10-3.41
N: 0.0000 0.2499 0.6902 (multiplicity 2)  6 Sm 2.48-2.49

Values from the calculation:
The mass density comes out at 9.49 Mg/m³. Its energy relative to the lowest polymorph listed for this composition is 5 kJ/mol of formula units. For the formation energy from raw total energies, the calculation gives -912 meV per atom. The density of states at the Fermi level comes out at 0.740 states/eV/atom.


(10)
A relaxed CdHg2P crystal, computed with GGA-PBE.

Lattice parameters (Å, degrees): 4.2411 5.6983 7.8464 90.00 90.00 90.00
Closest atoms and distances in Å follow each position.
Space group Cmm2 (No. 35)
Inequivalent atoms, fractional coordinates:
Cd: 0.0000 0.0000 0.0000 (multiplicity 2)  2 P 2.61
Hg: 0.0000 0.0000 0.4390 (multiplicity 2)  2 P 2.86, 2 Hg 3.07
Hg: 0.0000 0.5000 0.7211 (multiplicity 2)  2 Cd 3.05, 2 Hg 3.07
P: 0.0000 0.5000 0.1950 (multiplicity 2)  2 Cd 2.61, 2 Hg 2.86

Values from the calculation:
The calculation puts the formation energy at 0.3104 eV/atom. The mass density comes out at 9.54 Mg/m³. Its energy relative to the lowest polymorph listed for this composition is 90 kJ/mol of formula units. The density of states at the Fermi level comes out at 0.326 states/eV/atom.


| no. | total moment (μB/cell) | raw total energy (eV/atom) |
| --- | --- | --- |
| 1 | 0.2 | -5.07 |
| 2 | 0.0 | -6.31 |
| 3 | 0.0 | -5.54 |
| 4 | 0.7 | -6.47 |
| 5 | 0.0 | -4.63 |
| 6 | 0.0 | -6.28 |
| 7 | 0.0 | -3.79 |
| 8 | 0.0 | -4.76 |
| 9 | 0.0 | -6.06 |
| 10 | 0.0 | -1.42 |